Material: MnTcBi2
Method: DFT, PBE
State: relaxed

Structure (CIF):
```
data_MnTcBi2
_chemical_formula_sum 'Mn4 Tc4 Bi8'
_cell_length_a 7.464
_cell_length_b 7.464
_cell_length_c 6.413
_cell_angle_alpha 90.00
_cell_angle_beta 90.00
_cell_angle_gamma 90.00
_space_group_name_H-M_alt 'I -4 2 d'
_space_group_IT_number 122
_space_group_name_Hall 'I -4 2bw'
loop_
_atom_site_label
_atom_site_fract_x
_atom_site_fract_y
_atom_site_fract_z
_atom_site_occupancy
Mn1 0.000 0.000 0.000 1
Tc1 0.000 0.000 0.500 1
Bi1 0.230 0.750 0.125 1
```

Output
- Calculated density: 10.6 g/cm3
- Polymorph energy (0 for the lowest one): 10.97 kcal/mol of atoms
- Spin magnetization: 1.7 μB/f.u.
- DFT formation energy: 1.232 eV per atom

---

Material: SnRuCl2
Method: DFT, PBE
State: relaxed

Structure (CIF):
```
data_SnRuCl2
_chemical_formula_sum 'Sn4 Ru4 Cl8'
_cell_length_a 6.899
_cell_length_b 6.899
_cell_length_c 6.899
_cell_angle_alpha 90.00
_cell_angle_beta 90.00
_cell_angle_gamma 90.00
_space_group_name_H-M_alt 'F m -3 m'
_space_group_IT_number 225
_space_group_name_Hall '-F 4 2 3'
loop_
_atom_site_label
_atom_site_fract_x
_atom_site_fract_y
_atom_site_fract_z
_atom_site_occupancy
Sn1 0.000 0.000 0.000 1
Ru1 0.000 0.000 0.500 1
Cl1 0.250 0.250 0.250 1
```

Output
- Calculated density: 5.9 g/cm3
- Polymorph energy (0 for the lowest one): 9.31 kcal/mol of atoms
- Spin magnetization: 2.1 μB/f.u.
- E_form (uncorrected): 411 meV/atom

---

Material: MgFeBIr2
Method: DFT, PBE
State: relaxed

Structure (CIF):
```
data_MgFeBIr2
_chemical_formula_sum 'Mg1 Fe1 B1 Ir2'
_cell_length_a 4.133
_cell_length_b 4.133
_cell_length_c 3.952
_cell_angle_alpha 90.00
_cell_angle_beta 90.00
_cell_angle_gamma 90.00
_space_group_name_H-M_alt 'P 4/m m m'
_space_group_IT_number 123
_space_group_name_Hall '-P 4 2'
loop_
_atom_site_label
_atom_site_fract_x
_atom_site_fract_y
_atom_site_fract_z
_atom_site_occupancy
Mg1 0.000 0.000 0.000 1
Fe1 0.500 0.500 0.000 1
B1 0.500 0.500 0.500 1
Ir1 0.000 0.500 0.500 1
```

Output
- Calculated density: 11.7 g/cm3
- Spin magnetization: 2.9 μB/f.u.
- DFT formation energy: -0.220 eV per atom

---

Material: BaSrTiN3
Method: DFT, PBE
State: relaxed

Structure (CIF):
```
data_BaSrTiN3
_chemical_formula_sum 'Ba4 Sr4 Ti4 N12'
_cell_length_a 6.143
_cell_length_b 12.017
_cell_length_c 5.725
_cell_angle_alpha 90.00
_cell_angle_beta 100.96
_cell_angle_gamma 90.00
_space_group_name_H-M_alt 'C 1 2/c 1'
_space_group_IT_number 15
_space_group_name_Hall '-C 2yc'
loop_
_atom_site_label
_atom_site_fract_x
_atom_site_fract_y
_atom_site_fract_z
_atom_site_occupancy
Ba1 0.000 0.245 0.250 1
Sr1 0.000 0.422 0.750 1
Ti1 0.000 0.048 0.750 1
N1 0.000 0.209 0.750 1
N2 0.207 0.040 0.492 1
```

Output
- Calculated density: 5.0 g/cm3
- Spin magnetization: 0.0 μB/f.u.
- E_form (uncorrected): -837 meV/atom

---

Material: CaFe2OsC
Method: DFT, PBE
State: relaxed

Structure (CIF):
```
data_CaFe2OsC
_chemical_formula_sum 'Ca1 Fe2 Os1 C1'
_cell_length_a 3.805
_cell_length_b 3.805
_cell_length_c 4.549
_cell_angle_alpha 90.00
_cell_angle_beta 90.00
_cell_angle_gamma 90.00
_space_group_name_H-M_alt 'P 4/m m m'
_space_group_IT_number 123
_space_group_name_Hall '-P 4 2'
loop_
_atom_site_label
_atom_site_fract_x
_atom_site_fract_y
_atom_site_fract_z
_atom_site_occupancy
Ca1 0.000 0.000 0.000 1
Fe1 0.000 0.500 0.500 1
Os1 0.500 0.500 0.000 1
C1 0.000 0.000 0.500 1
```

Output
- Calculated density: 8.9 g/cm3
- Spin magnetization: 0.0 μB/f.u.
- DFT formation energy: 0.790 eV per atom

---

Material: LuGaNi2
Method: DFT, PBE
State: relaxed

Structure (CIF):
```
data_LuGaNi2
_chemical_formula_sum 'Lu2 Ga2 Ni4'
_cell_length_a 4.1326
_cell_length_b 4.1326
_cell_length_c 8.5091
_cell_angle_alpha 90.00
_cell_angle_beta 90.00
_cell_angle_gamma 120.00
_space_group_name_H-M_alt 'P 63/m m c'
_space_group_IT_number 194
_space_group_name_Hall '-P 6c 2c'
loop_
_atom_site_label
_atom_site_fract_x
_atom_site_fract_y
_atom_site_fract_z
_atom_site_occupancy
Lu1 0.3333 0.6667 0.2500 1
Ga1 0.0000 0.0000 0.0000 1
Ni1 0.3333 0.6667 0.5712 1
```

Output
- Calculated density: 9.6 g/cm3
- Spin magnetization: 0.0 μB/f.u.
- DFT formation energy: -0.589 eV per atom